First-principles (PBE) data for an optimized crystal structure of Sm3Hg2Pd8, as listed in Alexandria via LeMat-Bulk.

abc: 5.4155 5.4155 31.4028
angles: 90.00 90.00 120.00
Space group R-3m (No. 166, hexagonal axes)
Asymmetric unit:
1 Sm 0.0000 0.0000 0.0000
2 Sm 0.0000 0.0000 0.1893
3 Hg 0.0000 0.0000 0.3637
4 Pd 0.0000 0.0000 0.2788
5 Pd 0.0031 0.5015 0.7698

Results
As for the crystal system: trigonal. For the formation energy, the calculation gives -0.49 eV per atom. The value obtained for the density of states at the Fermi level is 14.2 states/eV/cell. The calculation puts the total moment at 0.00 μB per formula unit.

=====

First-principles (PBE) data for an optimized crystal structure of Pr12Dy2Er5, as listed in Alexandria via LeMat-Bulk.

abc: 18.095 11.796 6.259
angles: 90.00 102.35 90.00
Space group C2/m (No. 12)
Asymmetric unit:
1 Pr 0.057 0.000 0.273
2 Pr 0.104 0.252 0.617
3 Pr 0.119 0.500 0.004
4 Pr 0.197 0.241 0.198
5 Dy 0.000 0.268 0.000
6 Er 0.000 0.500 0.500
7 Er 0.179 0.000 0.859
8 Er 0.216 0.500 0.555

Results
As for the crystal system: monoclinic. For the formation energy, the calculation gives 0.10 eV per atom. The value obtained for the density of states at the Fermi level is 53.0 states/eV/cell. The calculation puts the total moment at 0.00 μB per formula unit.

=====

First-principles (PBE) data for an optimized crystal structure of CdP4Br, as listed in Alexandria via LeMat-Bulk.

abc: 8.492 8.492 8.492
angles: 90.00 90.00 90.00
Space group F-43m (No. 216)
Asymmetric unit:
1 Cd 0.000 0.000 0.000
2 P 0.092 0.092 0.592
3 Br 0.250 0.250 0.250

Results
As for the crystal system: cubic. The value obtained for the density of states at the Fermi level is 13.1 states/eV/cell. The calculation puts the total moment at 0.00 μB per formula unit. The raw formation energy comes out at 104 kJ/mol of formula units.

=====

First-principles (PBE) data for an optimized crystal structure of Cr3FePt12, as listed in Alexandria via LeMat-Bulk.

abc: 3.915 3.915 15.698
angles: 90.00 90.00 90.00
Space group P4/mmm (No. 123)
Asymmetric unit:
1 Cr 0.000 0.000 0.000
2 Cr 0.000 0.000 0.249
3 Fe 0.000 0.000 0.500
4 Pt 0.000 0.500 0.125
5 Pt 0.000 0.500 0.376
6 Pt 0.500 0.500 0.000
7 Pt 0.500 0.500 0.251
8 Pt 0.500 0.500 0.500

Results
As for the crystal system: tetragonal. For the formation energy, the calculation gives -0.26 eV per atom. The value obtained for the density of states at the Fermi level is 21.4 states/eV/cell. The calculation puts the total moment at 12.77 μB per formula unit.

=====

First-principles (PBE) data for an optimized crystal structure of Ca2TaSnRu, as listed in Alexandria via LeMat-Bulk.

abc: 8.298 8.298 4.977
angles: 90.00 90.00 90.00
Space group P4/mmm (No. 123)
Asymmetric unit:
1 Ca 0.000 0.500 0.000
2 Ta 0.000 0.000 0.000
3 Sn 0.500 0.500 0.500
4 Ru 0.000 0.000 0.500

Results
As for the crystal system: tetragonal. For the formation energy, the calculation gives 2.00 eV per atom. The value obtained for the density of states at the Fermi level is 6.5 states/eV/cell. The calculation puts the total moment at 0.47 μB per formula unit.

=====

First-principles (PBE) data for an optimized crystal structure of ThMgPb3, as listed in Alexandria via LeMat-Bulk.

abc: 13.725 6.459 6.544
angles: 90.00 90.00 90.00
Space group Pbcm (No. 57)
Asymmetric unit:
1 Th 0.188 0.000 0.250
2 Mg 0.386 0.250 0.000
3 Pb 0.002 0.250 0.000
4 Pb 0.234 0.504 0.250
5 Pb 0.425 0.683 0.750

Results
As for the crystal system: orthorhombic. For the formation energy, the calculation gives -0.18 eV per atom. The value obtained for the density of states at the Fermi level is 9.7 states/eV/cell. The calculation puts the total moment at 0.00 μB per formula unit.

=====

First-principles (PBE) data for an optimized crystal structure of Sr8H, as listed in Alexandria via LeMat-Bulk.

abc: 8.4237 8.4237 6.8986
angles: 90.00 90.00 120.00
Space group P-3m1 (No. 164)
Asymmetric unit:
1 Sr 0.1615 0.3230 0.2580
2 Sr 0.3333 0.6667 0.7621
3 H 0.0000 0.0000 0.5000

Results
As for the crystal system: trigonal. The value obtained for the density of states at the Fermi level is 10.0 states/eV/cell. The calculation puts the total moment at 0.00 μB per formula unit.

=====

First-principles (PBE) data for an optimized crystal structure of MoPtSe2, as listed in Alexandria via LeMat-Bulk.

abc: 3.4398 3.4398 23.9517
angles: 90.00 90.00 120.00
Space group R-3m (No. 166, hexagonal axes)
Asymmetric unit:
1 Mo 0.0000 0.0000 0.0000
2 Pt 0.0000 0.0000 0.5000
3 Se 0.0000 0.0000 0.1006

Results
As for the crystal system: trigonal. The value obtained for the density of states at the Fermi level is 12.5 states/eV/cell. The calculation puts the total moment at 0.00 μB per formula unit. The raw formation energy comes out at 171 kJ/mol of formula units.

=====

First-principles (PBE) data for an optimized crystal structure of Pr3SiIr3, as listed in Alexandria via LeMat-Bulk.

abc: 10.791 4.160 14.936
angles: 90.00 109.42 90.00
Space group C2/m (No. 12)
Asymmetric unit:
1 Pr 0.015 0.000 0.381
2 Pr 0.108 0.000 0.926
3 Pr 0.244 0.000 0.223
4 Si 0.228 0.500 0.390
5 Ir 0.046 0.500 0.240
6 Ir 0.116 0.500 0.078
7 Ir 0.179 0.500 0.540

Results
As for the crystal system: monoclinic. The value obtained for the density of states at the Fermi level is 14.2 states/eV/cell. The calculation puts the total moment at 0.00 μB per formula unit. The raw formation energy comes out at -494 kJ/mol of formula units.

=====

First-principles (PBE) data for an optimized crystal structure of Li2InCl, as listed in Alexandria via LeMat-Bulk.

abc: 3.272 6.549 8.756
angles: 90.00 90.00 90.00
Space group Immm (No. 71)
Asymmetric unit:
1 Li 0.000 0.000 0.197
2 In 0.000 0.500 0.000
3 Cl 0.000 0.500 0.500

Results
As for the crystal system: orthorhombic. The value obtained for the density of states at the Fermi level is 2.2 states/eV/cell. The calculation puts the total moment at 0.00 μB per formula unit. The raw formation energy comes out at -271 kJ/mol of formula units.

=====

First-principles (PBE) data for an optimized crystal structure of Na2HfMoBr, as listed in Alexandria via LeMat-Bulk.

abc: 6.268 6.268 4.737
angles: 90.00 90.00 90.00
Space group P4/mmm (No. 123)
Asymmetric unit:
1 Na 0.000 0.500 0.000
2 Hf 0.000 0.000 0.000
3 Mo 0.000 0.000 0.500
4 Br 0.500 0.500 0.500

Results
As for the crystal system: tetragonal. The value obtained for the density of states at the Fermi level is 3.1 states/eV/cell. The calculation puts the total moment at 1.20 μB per formula unit. The raw formation energy comes out at 524 kJ/mol of formula units.

=====

First-principles (PBE) data for an optimized crystal structure of Ho2MgOs, as listed in Alexandria via LeMat-Bulk.

abc: 7.033 7.033 7.033
angles: 90.00 90.00 90.00
Space group Fm-3m (No. 225)
Asymmetric unit:
1 Ho 0.250 0.250 0.250
2 Mg 0.000 0.000 0.000
3 Os 0.000 0.000 0.500

Results
As for the crystal system: cubic. For the formation energy, the calculation gives -0.17 eV per atom. The value obtained for the density of states at the Fermi level is 12.9 states/eV/cell. The calculation puts the total moment at 0.00 μB per formula unit.

=====

First-principles (PBE) data for an optimized crystal structure of Sm15HoIn4, as listed in Alexandria via LeMat-Bulk.

abc: 4.938 4.938 25.125
angles: 90.00 90.00 90.00
Space group P4/mmm (No. 123)
Asymmetric unit:
1 Sm 0.000 0.000 0.000
2 Sm 0.000 0.000 0.204
3 Sm 0.000 0.000 0.401
4 Sm 0.000 0.500 0.105
5 Sm 0.000 0.500 0.303
6 Sm 0.000 0.500 0.500
7 Ho 0.500 0.500 0.000
8 In 0.500 0.500 0.205
9 In 0.500 0.500 0.402

Results
As for the crystal system: tetragonal. For the formation energy, the calculation gives -0.21 eV per atom. The value obtained for the density of states at the Fermi level is 29.4 states/eV/cell. The calculation puts the total moment at 0.00 μB per formula unit.

=====

First-principles (PBE) data for an optimized crystal structure of YTiPb, as listed in Alexandria via LeMat-Bulk.

abc: 4.312 4.312 8.051
angles: 90.00 90.00 90.00
Space group P4/nmm (No. 129, origin choice 2)
Asymmetric unit:
1 Y 0.250 0.250 0.163
2 Ti 0.250 0.750 0.500
3 Pb 0.250 0.250 0.755

Results
As for the crystal system: tetragonal. For the formation energy, the calculation gives -0.32 eV per atom. The value obtained for the density of states at the Fermi level is 4.9 states/eV/cell. The calculation puts the total moment at 0.51 μB per formula unit.

=====

First-principles (PBE) data for an optimized crystal structure of Tl2AgCl, as listed in Alexandria via LeMat-Bulk.

abc: 7.590 7.590 7.590
angles: 90.00 90.00 90.00
Space group Fm-3m (No. 225)
Asymmetric unit:
1 Tl 0.250 0.250 0.250
2 Ag 0.000 0.000 0.000
3 Cl 0.000 0.000 0.500

Results
As for the crystal system: cubic. The value obtained for the density of states at the Fermi level is 3.1 states/eV/cell. The calculation puts the total moment at 0.00 μB per formula unit. The raw formation energy comes out at -91 kJ/mol of formula units.

=====

First-principles (PBE) data for an optimized crystal structure of TiH, as listed in Alexandria via LeMat-Bulk.

abc: 2.939 2.939 4.582
angles: 90.00 90.00 90.00
Space group P4_2/mmc (No. 131)
Asymmetric unit:
1 Ti 0.000 0.500 0.000
2 H 0.000 0.000 0.250

Results
As for the crystal system: tetragonal. The value obtained for the density of states at the Fermi level is 1.4 states/eV/cell. The calculation puts the total moment at 0.00 μB per formula unit.

=====

First-principles (PBE) data for an optimized crystal structure of CdP2Cl, as listed in Alexandria via LeMat-Bulk.

abc: 3.364 5.493 4.941
angles: 90.00 101.99 90.00
Space group P2/m (No. 10)
Asymmetric unit:
1 Cd 0.000 0.000 0.000
2 P 0.209 0.500 0.853
3 Cl 0.500 0.000 0.500

Results
As for the crystal system: monoclinic. The value obtained for the density of states at the Fermi level is 1.2 states/eV/cell. The calculation puts the total moment at 0.00 μB per formula unit. The raw formation energy comes out at -21 kJ/mol of formula units.

=====

First-principles (PBE) data for an optimized crystal structure of Tl2TePd, as listed in Alexandria via LeMat-Bulk.

abc: 4.5667 4.5667 20.0134
angles: 90.00 90.00 120.00
Space group R3m (No. 160, hexagonal axes)
Asymmetric unit:
1 Tl 0.0000 0.0000 0.0000
2 Tl 0.0000 0.0000 0.4449
3 Te 0.0000 0.0000 0.2184
4 Pd 0.0000 0.0000 0.8531

Results
As for the crystal system: trigonal. The value obtained for the density of states at the Fermi level is 4.0 states/eV/cell. The calculation puts the total moment at 0.00 μB per formula unit. The raw formation energy comes out at -85 kJ/mol of formula units.

=====

First-principles (PBE) data for an optimized crystal structure of Sc2AlSb, as listed in Alexandria via LeMat-Bulk.

abc: 3.347 4.089 6.246
angles: 90.00 90.00 90.00
Space group Pmmm (No. 47)
Asymmetric unit:
1 Sc 0.000 0.000 0.241
2 Al 0.500 0.500 0.000
3 Sb 0.500 0.500 0.500

Results
As for the crystal system: orthorhombic. The value obtained for the density of states at the Fermi level is 3.7 states/eV/cell. The calculation puts the total moment at 0.57 μB per formula unit. The raw formation energy comes out at -190 kJ/mol of formula units.

=====

Number 1: total DFT energy (no corrections) -188.00 eV/cell. Number 2: total DFT energy (no corrections) -174.97 eV/cell. Number 3: total DFT energy (no corrections) -92.58 eV/cell. Number 4: total DFT energy (no corrections) -113.92 eV/cell. Number 5: total DFT energy (no corrections) -19.12 eV/cell. Number 6: total DFT energy (no corrections) -84.06 eV/cell. Number 7: total DFT energy (no corrections) -17.27 eV/cell. Number 8: total DFT energy (no corrections) -66.20 eV/cell. Number 9: total DFT energy (no corrections) -205.86 eV/cell. Number 10: total DFT energy (no corrections) -22.44 eV/cell. Number 11: total DFT energy (no corrections) -19.67 eV/cell. Number 12: total DFT energy (no corrections) -90.56 eV/cell. Number 13: total DFT energy (no corrections) -90.47 eV/cell. Number 14: total DFT energy (no corrections) -38.04 eV/cell. Number 15: total DFT energy (no corrections) -41.50 eV/cell. Number 16: total DFT energy (no corrections) -24.02 eV/cell. Number 17: total DFT energy (no corrections) -13.80 eV/cell. Number 18: total DFT energy (no corrections) -41.85 eV/cell. Number 19: total DFT energy (no corrections) -22.50 eV/cell.